[1]
A relaxed structure of LiY2Ag, computed with PBE.

The structure belongs to space group P4mm (No. 99); the cell edges are 3.640, 3.640 and 7.425 Å and the angles 90.00°, 90.00° and 90.00°. The distinct sites, in fractional coordinates, are Li at (0.000, 0.000, 0.000), Y at (0.000, 0.000, 0.588), Y at (0.500, 0.500, 0.266) and Ag at (0.500, 0.500, 0.837).

As for the total DFT energy (no corrections): -4.543 eV/atom. The energy above the most stable polymorph in this dataset is 0.005 eV per atom.

---

[2]
A relaxed structure of Tb6TlTe3Ir2, computed with PBE.

The structure belongs to space group C2/m (No. 12); the cell edges are 19.264, 4.155 and 8.945 Å and the angles 90.00°, 109.11° and 90.00°. The distinct sites, in fractional coordinates, are Tb at (0.010, 0.000, 0.260), Tb at (0.171, 0.500, 0.111), Tb at (0.182, 0.500, 0.552), Tl at (0.000, 0.500, 0.000), Te at (0.000, 0.500, 0.500), Te at (0.162, 0.000, 0.827) and Ir at (0.163, 0.000, 0.321).

As for the total DFT energy (no corrections): -5.740 eV/atom. For the energy relative to the elements, uncorrected, the calculation gives -965 meV per atom.

---

[3]
A relaxed structure of MgAs, computed with PBE.

The structure belongs to space group Cmcm (No. 63); the cell edges are 3.965, 10.973 and 3.793 Å and the angles 90.00°, 90.00° and 90.00°. The distinct sites, in fractional coordinates, are Mg at (0.000, 0.139, 0.250) and As at (0.000, 0.395, 0.250).

As for the total DFT energy (no corrections): -3.401 eV/atom. The energy above the most stable polymorph in this dataset is 0.138 eV per atom.

---

[4]
A relaxed structure of Mn2MoSe, computed with PBE.

The structure belongs to space group F-43m (No. 216); the cell edges are 6.011, 6.011 and 6.011 Å and the angles 90.00°, 90.00° and 90.00°. The distinct sites, in fractional coordinates, are Mn at (0.000, 0.000, 0.000), Mn at (0.250, 0.250, 0.250), Mo at (0.000, 0.000, 0.500) and Se at (0.250, 0.250, 0.750).

As for the total DFT energy (no corrections): -7.896 eV/atom. For the energy relative to the elements, uncorrected, the calculation gives 268 meV per atom.